No. 1
CdMoP2: optimized geometry, PBE-GGA.

## Properties
**Magnetization**: 0.000 μB per atom
**ΔE_f**: 0.173 eV/atom

Geometry as CIF:
```
data_CdMoP2
_chemical_formula_sum 'Cd2 Mo2 P4'
_symmetry_space_group_name_H-M 'C m m m'
_symmetry_Int_Tables_number 65
_symmetry_space_group_name_Hall '-C 2 2'
_cell_length_a 3.3062
_cell_length_b 4.7507
_cell_length_c 9.8460
_cell_angle_alpha 90.00
_cell_angle_beta 90.00
_cell_angle_gamma 90.00
loop_
_atom_site_label
_atom_site_fract_x
_atom_site_fract_y
_atom_site_fract_z
Cd1 0.0000 0.0000 0.0000
Mo1 0.0000 0.0000 0.5000
P1 0.0000 0.5000 0.3179
```

=====

No. 2
CdMoP2: optimized geometry, PBE-GGA.

## Properties
**Magnetization**: 0.000 μB per atom
**ΔE_f**: -0.109 eV/atom

Geometry as CIF:
```
data_CdMoP2
_chemical_formula_sum 'Cd3 Mo3 P6'
_symmetry_space_group_name_H-M 'R -3 m'
_symmetry_Int_Tables_number 166
_symmetry_space_group_name_Hall '-R 3 2"'
_cell_length_a 3.2688
_cell_length_b 3.2688
_cell_length_c 22.6095
_cell_angle_alpha 90.00
_cell_angle_beta 90.00
_cell_angle_gamma 120.00
loop_
_atom_site_label
_atom_site_fract_x
_atom_site_fract_y
_atom_site_fract_z
Cd1 0.0000 0.0000 0.0000
Mo1 0.0000 0.0000 0.5000
P1 0.0000 0.0000 0.2371
```

=====

No. 3
CdMoP2: optimized geometry, PBE-GGA.

## Properties
**Magnetization**: 0.000 μB per atom
**ΔE_f**: 0.081 eV/atom

Geometry as CIF:
```
data_CdMoP2
_chemical_formula_sum 'Cd1 Mo1 P2'
_symmetry_space_group_name_H-M 'P 4 m m'
_symmetry_Int_Tables_number 99
_symmetry_space_group_name_Hall 'P 4 -2'
_cell_length_a 3.3455
_cell_length_b 3.3455
_cell_length_c 6.9677
_cell_angle_alpha 90.00
_cell_angle_beta 90.00
_cell_angle_gamma 90.00
loop_
_atom_site_label
_atom_site_fract_x
_atom_site_fract_y
_atom_site_fract_z
Cd1 0.0000 0.0000 0.0000
Mo1 0.5000 0.5000 0.4732
P1 0.0000 0.0000 0.3698
P2 0.5000 0.5000 0.7966
```

=====

No. 4
CdMoP2: optimized geometry, PBE-GGA.

## Properties
**Magnetization**: 0.000 μB per atom
**ΔE_f**: 0.413 eV/atom

Geometry as CIF:
```
data_CdMoP2
_chemical_formula_sum 'Cd2 Mo2 P4'
_symmetry_space_group_name_H-M 'C m m 2'
_symmetry_Int_Tables_number 35
_symmetry_space_group_name_Hall 'C 2 -2'
_cell_length_a 3.3033
_cell_length_b 4.5736
_cell_length_c 9.7774
_cell_angle_alpha 90.00
_cell_angle_beta 90.00
_cell_angle_gamma 90.00
loop_
_atom_site_label
_atom_site_fract_x
_atom_site_fract_y
_atom_site_fract_z
Cd1 0.0000 0.0000 0.0000
Mo1 0.0000 0.5000 0.7472
P1 0.0000 0.0000 0.5670
P2 0.0000 0.5000 0.2296
```

=====

No. 5
CdMoP2: optimized geometry, PBE-GGA.

## Properties
**Magnetization**: 0.000 μB per atom
**ΔE_f**: 0.054 eV/atom

Geometry as CIF:
```
data_CdMoP2
_chemical_formula_sum 'Cd2 Mo2 P4'
_symmetry_space_group_name_H-M 'C 1 2/m 1'
_symmetry_Int_Tables_number 12
_symmetry_space_group_name_Hall '-C 2y'
_cell_length_a 8.2224
_cell_length_b 3.1863
_cell_length_c 5.3001
_cell_angle_alpha 90.00
_cell_angle_beta 98.86
_cell_angle_gamma 90.00
loop_
_atom_site_label
_atom_site_fract_x
_atom_site_fract_y
_atom_site_fract_z
Cd1 0.0000 0.0000 0.0000
Mo1 0.0000 0.5000 0.5000
P1 0.2242 0.0000 0.6686
```

=====

No. 6
CdMoP2: optimized geometry, PBE-GGA.

## Properties
**Magnetization**: 0.000 μB per atom
**ΔE_f**: 0.250 eV/atom

Geometry as CIF:
```
data_CdMoP2
_chemical_formula_sum 'Cd2 Mo2 P4'
_symmetry_space_group_name_H-M 'I m m m'
_symmetry_Int_Tables_number 71
_symmetry_space_group_name_Hall '-I 2 2'
_cell_length_a 2.9431
_cell_length_b 5.0466
_cell_length_c 10.9017
_cell_angle_alpha 90.00
_cell_angle_beta 90.00
_cell_angle_gamma 90.00
loop_
_atom_site_label
_atom_site_fract_x
_atom_site_fract_y
_atom_site_fract_z
Cd1 0.0000 0.0000 0.0000
Mo1 0.0000 0.0000 0.5000
P1 0.0000 0.5000 0.1747
```

=====

Copy entry 2 word for word.
CdMoP2: optimized geometry, PBE-GGA.

## Properties
**Magnetization**: 0.000 μB per atom
**ΔE_f**: -0.109 eV/atom

Geometry as CIF:
```
data_CdMoP2
_chemical_formula_sum 'Cd3 Mo3 P6'
_symmetry_space_group_name_H-M 'R -3 m'
_symmetry_Int_Tables_number 166
_symmetry_space_group_name_Hall '-R 3 2"'
_cell_length_a 3.2688
_cell_length_b 3.2688
_cell_length_c 22.6095
_cell_angle_alpha 90.00
_cell_angle_beta 90.00
_cell_angle_gamma 120.00
loop_
_atom_site_label
_atom_site_fract_x
_atom_site_fract_y
_atom_site_fract_z
Cd1 0.0000 0.0000 0.0000
Mo1 0.0000 0.0000 0.5000
P1 0.0000 0.0000 0.2371
```

=====

What is the magnetization in the fifth record?
0.000 μB per atom

=====

Among the records above, which one has the highest ΔE_f?
number 4